(1)
! HfBeSn2H, single point on PBEsol structure, DFT SCAN; values from VASP
! calculated total energy = -140.61 eV for the cell shown
! DOS(E_F) = 2.2 states/eV/f.u.
! total moment = 0.0 μB/f.u.
! SG = P4/mmm
&SYSTEM
  ibrav = 0, nat = 5, ntyp = 4
/
ATOMIC_SPECIES
H 1.01 H.upf
Sn 118.71 Sn.upf
Hf 178.49 Hf.upf
Be 9.01 Be.upf
ATOMIC_POSITIONS crystal
H 0.0000 0.0000 0.0000
Sn 0.0000 0.5000 0.0000
Sn 0.0000 0.0000 0.5000
Hf 0.5000 0.0000 0.0000
Be 0.5000 0.5000 0.5000
CELL_PARAMETERS angstrom
3.8766 0.0000 0.0000
0.0000 4.6022 0.0000
0.0000 0.0000 4.6022

***

(2)
! Be3HgH, single point on PBEsol structure, DFT SCAN; values from VASP
! calculated total energy = -78.95 eV for the cell shown
! DOS(E_F) = 1.3 states/eV/f.u.
! total moment = 0.9 μB/f.u.
! SG = Pm-3m
&SYSTEM
  ibrav = 0, nat = 5, ntyp = 3
/
ATOMIC_SPECIES
Be 9.01 Be.upf
H 1.01 H.upf
Hg 200.59 Hg.upf
ATOMIC_POSITIONS crystal
Be 0.0000 0.5000 0.0000
Be 0.0000 0.0000 0.5000
Be 0.5000 0.0000 0.0000
H 0.5000 0.5000 0.5000
Hg 0.0000 0.0000 0.0000
CELL_PARAMETERS angstrom
4.4263 0.0000 0.0000
0.0000 4.4263 0.0000
0.0000 0.0000 4.4263

***

(3)
! BeHg2H, single point on PBEsol structure, DFT SCAN; values from VASP
! calculated total energy = -141.31 eV for the cell shown
! DOS(E_F) = 1.2 states/eV/f.u.
! total moment = 0.3 μB/f.u.
! SG = Fm-3m
&SYSTEM
  ibrav = 0, nat = 4, ntyp = 3
/
ATOMIC_SPECIES
Hg 200.59 Hg.upf
H 1.01 H.upf
Be 9.01 Be.upf
ATOMIC_POSITIONS crystal
Hg 0.7500 0.7500 0.7500
Hg 0.2500 0.2500 0.2500
H 0.0000 0.0000 0.0000
Be 0.5000 0.5000 0.5000
CELL_PARAMETERS angstrom
-0.9297 -4.0280 -1.1665
2.9998 -3.0620 0.2743
-0.3365 -3.0755 2.9796

***

(4)
! BeHg2H2, single point on PBEsol structure, DFT SCAN; values from VASP
! calculated total energy = -145.57 eV for the cell shown
! DOS(E_F) = 1.3 states/eV/f.u.
! total moment = 0.0 μB/f.u.
! SG = I4/mmm
&SYSTEM
  ibrav = 0, nat = 5, ntyp = 3
/
ATOMIC_SPECIES
Hg 200.59 Hg.upf
Be 9.01 Be.upf
H 1.01 H.upf
ATOMIC_POSITIONS crystal
Hg 0.5000 0.2500 0.7500
Hg 0.5000 0.7500 0.2500
Be 0.0000 0.0000 0.0000
H 0.0000 0.5642 0.5642
H 0.0000 0.4358 0.4358
CELL_PARAMETERS angstrom
-1.1977 -3.9699 -1.6088
1.3387 0.2462 4.2344
-3.1540 3.0815 0.5826